Record 1
Dy6Ho2ErTm PBE-GGA optimized geometry; calculated total energy = -4.460 eV per atom; crystal system = monoclinic; magnetic moment = 0.0 μB per formula unit; energy of formation = 0.12 eV/atom
1.0
4.4816 -7.4506 0.0000
4.4816 7.4506 0.0000
-1.3141 0.0000 9.4008
Dy Ho Er Tm
12 4 2 2
direct
0.0185 0.5709 0.1854 Dy
0.1237 0.7524 0.5558 Dy
0.2476 0.8763 0.9442 Dy
0.2904 0.5030 0.3797 Dy
0.4291 0.9815 0.3146 Dy
0.4970 0.7096 0.1203 Dy
0.5030 0.2904 0.8797 Dy
0.5709 0.0185 0.6854 Dy
0.7096 0.4970 0.6203 Dy
0.7524 0.1237 0.0558 Dy
0.8763 0.2476 0.4442 Dy
0.9815 0.4291 0.8146 Dy
0.1964 0.3004 0.0438 Ho
0.3004 0.1964 0.5438 Ho
0.6996 0.8036 0.4562 Ho
0.8036 0.6996 0.9562 Ho
0.4084 0.5916 0.7500 Er
0.5916 0.4084 0.2500 Er
0.0228 0.9772 0.2500 Tm
0.9772 0.0228 0.7500 Tm

Record 2
DyHoEr2Tm4 PBE-GGA optimized geometry; calculated total energy = -4.499 eV per atom; crystal system = tetragonal; magnetic moment = 0.0 μB per formula unit; energy of formation = 0.02 eV/atom
1.0
4.9406 0.0000 0.0000
0.0000 4.9406 0.0000
0.0000 0.0000 9.8979
Dy Ho Er Tm
1 1 2 4
direct
0.0000 0.0000 0.0000 Dy
0.5000 0.5000 0.5000 Ho
0.0000 0.0000 0.5000 Er
0.5000 0.5000 0.0000 Er
0.0000 0.5000 0.2503 Tm
0.0000 0.5000 0.7497 Tm
0.5000 0.0000 0.2503 Tm
0.5000 0.0000 0.7497 Tm

Record 3
DyHoErTm PBE-GGA optimized geometry; calculated total energy = -4.413 eV per atom; ΔE to the lowest computed polymorph = 11.3 kJ per mole of atoms; crystal system = cubic; magnetic moment = 0.0 μB per formula unit; energy of formation = 0.14 eV/atom
1.0
0.0000 3.9618 3.9618
3.9618 0.0000 3.9618
3.9618 3.9618 0.0000
Dy Ho Er Tm
1 1 1 1
direct
0.0000 0.0000 0.0000 Dy
0.5000 0.5000 0.5000 Ho
0.2500 0.2500 0.2500 Er
0.7500 0.7500 0.7500 Tm

Record 4
Dy2HoEr5Tm PBE-GGA optimized geometry; calculated total energy = -4.409 eV per atom; crystal system = orthorhombic; magnetic moment = 0.0 μB per formula unit; energy of formation = 0.15 eV/atom
1.0
2.7605 -9.8069 0.0000
2.7605 9.8069 0.0000
0.0000 0.0000 10.4634
Dy Ho Er Tm
4 2 10 2
direct
0.1100 0.8900 0.5000 Dy
0.1131 0.8869 0.0814 Dy
0.8869 0.1131 0.5814 Dy
0.8900 0.1100 0.0000 Dy
0.1999 0.8001 0.7743 Ho
0.8001 0.1999 0.2743 Ho
0.0184 0.9816 0.7871 Er
0.2815 0.7185 0.0708 Er
0.3008 0.6992 0.4719 Er
0.3894 0.6106 0.7854 Er
0.4798 0.5202 0.5019 Er
0.5202 0.4798 0.0019 Er
0.6106 0.3894 0.2854 Er
0.6992 0.3008 0.9719 Er
0.7185 0.2815 0.5708 Er
0.9816 0.0184 0.2871 Er
0.4127 0.5873 0.2214 Tm
0.5873 0.4127 0.7214 Tm

Record 5
Dy5HoEr2Tm PBE-GGA optimized geometry; calculated total energy = -4.421 eV per atom; crystal system = orthorhombic; magnetic moment = 0.0 μB per formula unit; energy of formation = 0.16 eV/atom
1.0
2.7679 -9.8549 0.0000
2.7679 9.8549 0.0000
0.0000 0.0000 10.4903
Dy Ho Er Tm
10 2 4 2
direct
0.0179 0.9821 0.5001 Dy
0.2812 0.7188 0.7862 Dy
0.3002 0.6998 0.1852 Dy
0.3888 0.6112 0.5000 Dy
0.4801 0.5199 0.2171 Dy
0.5199 0.4801 0.7171 Dy
0.6112 0.3888 0.0000 Dy
0.6998 0.3002 0.6852 Dy
0.7188 0.2812 0.2862 Dy
0.9821 0.0179 0.0001 Dy
0.1995 0.8005 0.4883 Ho
0.8005 0.1995 0.9883 Ho
0.1099 0.8901 0.2156 Er
0.1134 0.8866 0.7938 Er
0.8866 0.1134 0.2938 Er
0.8901 0.1099 0.7156 Er
0.4120 0.5880 0.9357 Tm
0.5880 0.4120 0.4357 Tm

Record 6
Dy2HoErTm5 PBE-GGA optimized geometry; calculated total energy = -4.366 eV per atom; crystal system = orthorhombic; magnetic moment = 0.0 μB per formula unit; energy of formation = 0.16 eV/atom
1.0
2.7565 -9.7741 0.0000
2.7565 9.7741 0.0000
0.0000 0.0000 10.4476
Dy Ho Er Tm
4 2 2 10
direct
0.1100 0.8900 0.5000 Dy
0.1129 0.8871 0.0827 Dy
0.8871 0.1129 0.5827 Dy
0.8900 0.1100 0.0000 Dy
0.2003 0.7997 0.7748 Ho
0.7997 0.2003 0.2748 Ho
0.4134 0.5866 0.2210 Er
0.5866 0.4134 0.7210 Er
0.0187 0.9813 0.7885 Tm
0.2817 0.7183 0.0710 Tm
0.3007 0.6993 0.4729 Tm
0.3899 0.6101 0.7859 Tm
0.4794 0.5206 0.5017 Tm
0.5206 0.4794 0.0017 Tm
0.6101 0.3899 0.2859 Tm
0.6993 0.3007 0.9729 Tm
0.7183 0.2817 0.5710 Tm
0.9813 0.0187 0.2885 Tm

Record 7
Dy6Ho3ErTm2 PBE-GGA optimized geometry; calculated total energy = -4.551 eV per atom; crystal system = monoclinic; magnetic moment = 0.0 μB per formula unit; energy of formation = 0.02 eV/atom
1.0
3.0479 -5.2728 0.0000
3.0479 5.2728 0.0000
-2.0210 0.0000 11.4710
Dy Ho Er Tm
6 3 1 2
direct
0.0833 0.4167 0.7510 Dy
0.2499 0.2499 0.2490 Dy
0.4167 0.0833 0.7510 Dy
0.5833 0.9167 0.2490 Dy
0.7501 0.7501 0.7510 Dy
0.9167 0.5833 0.2490 Dy
0.0000 0.0000 0.5000 Ho
0.3332 0.6668 0.5000 Ho
0.6668 0.3332 0.5000 Ho
0.5000 0.5000 0.0000 Er
0.1667 0.8333 0.0000 Tm
0.8333 0.1667 0.0000 Tm

Record 8
DyHo6Er2Tm3 PBE-GGA optimized geometry; calculated total energy = -4.529 eV per atom; crystal system = monoclinic; magnetic moment = 0.0 μB per formula unit; energy of formation = 0.02 eV/atom
1.0
3.0372 -5.2534 0.0000
3.0372 5.2534 0.0000
-2.0167 0.0000 11.4379
Dy Ho Er Tm
1 6 2 3
direct
0.0000 0.0000 0.0000 Dy
0.0838 0.4173 0.2509 Ho
0.2496 0.2496 0.7490 Ho
0.4173 0.0838 0.2509 Ho
0.5827 0.9162 0.7491 Ho
0.7504 0.7504 0.2510 Ho
0.9162 0.5827 0.7491 Ho
0.3334 0.6666 0.0000 Er
0.6666 0.3334 0.0000 Er
0.1668 0.8332 0.5000 Tm
0.5000 0.5000 0.5000 Tm
0.8332 0.1668 0.5000 Tm

Record 9
Dy6HoErTm2 PBE-GGA optimized geometry; calculated total energy = -4.448 eV per atom; crystal system = monoclinic; magnetic moment = 0.0 μB per formula unit; energy of formation = 0.12 eV/atom
1.0
4.4879 -7.4356 0.0000
4.4879 7.4356 0.0000
-1.2662 0.0000 9.3872
Dy Ho Er Tm
12 2 2 4
direct
0.0187 0.5689 0.1841 Dy
0.1220 0.7528 0.5553 Dy
0.2472 0.8780 0.9447 Dy
0.2914 0.5041 0.3797 Dy
0.4311 0.9813 0.3159 Dy
0.4959 0.7086 0.1203 Dy
0.5041 0.2914 0.8797 Dy
0.5689 0.0187 0.6841 Dy
0.7086 0.4959 0.6203 Dy
0.7528 0.1220 0.0553 Dy
0.8780 0.2472 0.4447 Dy
0.9813 0.4311 0.8159 Dy
0.4083 0.5917 0.7500 Ho
0.5917 0.4083 0.2500 Ho
0.0241 0.9759 0.2500 Er
0.9759 0.0241 0.7500 Er
0.1965 0.3006 0.0444 Tm
0.3006 0.1965 0.5444 Tm
0.6994 0.8035 0.4556 Tm
0.8035 0.6994 0.9556 Tm

Record 10
Dy2Ho4Er2Tm PBE-GGA optimized geometry; calculated total energy = -4.565 eV per atom; crystal system = monoclinic; magnetic moment = 0.0 μB per formula unit; energy of formation = 0.00 eV/atom
1.0
9.2125 -1.7729 0.0000
9.2125 1.7729 0.0000
-4.0920 0.0000 8.4696
Dy Ho Er Tm
2 4 2 1
direct
0.1482 0.1482 0.1664 Dy
0.8518 0.8518 0.8336 Dy
0.1850 0.1850 0.8333 Ho
0.4815 0.4815 0.1671 Ho
0.5185 0.5185 0.8329 Ho
0.8150 0.8150 0.1667 Ho
0.3336 0.3336 0.4998 Er
0.6664 0.6664 0.5002 Er
0.0000 0.0000 0.5000 Tm

Record 11
DyHo2Er6Tm3 PBE-GGA optimized geometry; calculated total energy = -4.523 eV per atom; crystal system = monoclinic; magnetic moment = 0.0 μB per formula unit; energy of formation = 0.02 eV/atom
1.0
3.0319 -5.2439 0.0000
3.0319 5.2439 0.0000
-2.0151 0.0000 11.4220
Dy Ho Er Tm
1 2 6 3
direct
0.0000 0.0000 0.0000 Dy
0.3334 0.6666 0.0000 Ho
0.6666 0.3334 0.0000 Ho
0.0840 0.4174 0.2511 Er
0.2494 0.2494 0.7488 Er
0.4174 0.0840 0.2511 Er
0.5826 0.9160 0.7489 Er
0.7506 0.7506 0.2512 Er
0.9160 0.5826 0.7489 Er
0.1667 0.8333 0.5000 Tm
0.5000 0.5000 0.5000 Tm
0.8333 0.1667 0.5000 Tm

Record 12
Dy2Ho5ErTm PBE-GGA optimized geometry; calculated total energy = -4.415 eV per atom; crystal system = orthorhombic; magnetic moment = 0.0 μB per formula unit; energy of formation = 0.15 eV/atom
1.0
2.7656 -9.8267 0.0000
2.7656 9.8267 0.0000
0.0000 0.0000 10.4794
Dy Ho Er Tm
4 10 2 2
direct
0.1105 0.8895 0.5000 Dy
0.1132 0.8868 0.0802 Dy
0.8868 0.1132 0.5802 Dy
0.8895 0.1105 0.0000 Dy
0.0183 0.9817 0.7855 Ho
0.2810 0.7190 0.0728 Ho
0.3002 0.6998 0.4716 Ho
0.3874 0.6126 0.7851 Ho
0.4802 0.5198 0.5028 Ho
0.5198 0.4802 0.0028 Ho
0.6126 0.3874 0.2851 Ho
0.6998 0.3002 0.9716 Ho
0.7190 0.2810 0.5728 Ho
0.9817 0.0183 0.2855 Ho
0.4122 0.5878 0.2219 Er
0.5878 0.4122 0.7219 Er
0.1995 0.8005 0.7744 Tm
0.8005 0.1995 0.2744 Tm